Compound: NbGaSe3
Source: Alexandria via LeMat-Bulk
Functional: PBE
Structure: optimized geometry

Summary:
Offset from the most stable computed form: 1210.9 meV/atom
Energy: -4.202 eV/atom
N(E_F): 3.06 states/eV per cell
ΔE_f (raw): 508 meV per atom
Spin magnetization: 1.9 μB/cell
Symmetry: No. 221

The structure in POSCAR format:
```
NbGaSe3
1.0
-0.026 -4.856 0.470
2.911 -0.393 -3.896
3.916 0.260 2.899
Ga Se Nb
1 3 1
Direct
0.000 0.000 0.000 Ga
0.000 0.500 0.000 Se
0.500 0.000 0.000 Se
0.000 0.000 0.500 Se
0.500 0.500 0.500 Nb
```